Entry from Alexandria via LeMat-Bulk: a relaxed Tb5Nd2SmHo crystal (PBE-GGA).

## Properties
Space group: I4/mcm
Total moment: 0.000 μB per formula unit
E_tot: -4.396 eV per atom

abc: 8.697 8.697 9.986
angles: 115.81 115.81 90.00
Element x y z (fractional)
1 Tb 0.851 0.928 0.279
2 Nd 0.382 0.882 0.000
3 Sm 0.750 0.750 0.500
4 Nd 0.882 0.618 0.000
5 Sm 0.250 0.250 0.500
6 Ho 0.750 0.250 0.500
7 Tb 0.572 0.649 0.721
8 Tb 0.000 0.000 0.000
9 Nd 0.118 0.382 0.000
10 Nd 0.618 0.118 0.000
11 Tb 0.928 0.428 0.279
12 Tb 0.428 0.351 0.279
13 Tb 0.149 0.072 0.721
14 Tb 0.351 0.851 0.279
15 Tb 0.500 0.500 0.000
16 Ho 0.250 0.750 0.500
17 Tb 0.649 0.149 0.721
18 Tb 0.072 0.572 0.721

Entry from Alexandria via LeMat-Bulk: a relaxed TbNd6Sm2Ho3 crystal (PBE-GGA).

## Properties
Space group: C2/m
Total moment: 0.000 μB per formula unit
E_tot: -4.688 eV per atom

abc: 6.291 6.291 11.926
angles: 95.03 95.03 120.00
Element x y z (fractional)
1 Nd 0.417 0.084 0.252
2 Sm 0.667 0.333 0.000
3 Ho 0.500 0.500 0.500
4 Nd 0.916 0.583 0.748
5 Nd 0.751 0.751 0.252
6 Nd 0.249 0.249 0.748
7 Ho 0.833 0.167 0.500
8 Nd 0.583 0.916 0.748
9 Sm 0.333 0.667 0.000
10 Ho 0.167 0.833 0.500
11 Nd 0.084 0.417 0.252
12 Tb 0.000 0.000 0.000

Entry from Alexandria via LeMat-Bulk: a relaxed TbNdSm3Ho crystal (PBE-GGA).

## Properties
Space group: Cmcm
Total moment: 0.000 μB per formula unit
E_tot: -4.673 eV per atom

abc: 5.094 8.070 10.213
angles: 90.00 90.00 108.40
Element x y z (fractional)
1 Ho 0.000 0.000 0.000
2 Nd 0.501 0.001 0.250
3 Sm 0.167 0.335 0.750
4 Sm 0.666 0.332 0.000
5 Ho 0.000 0.000 0.500
6 Sm 0.334 0.668 0.500
7 Sm 0.334 0.668 0.000
8 Sm 0.833 0.665 0.250
9 Tb 0.833 0.666 0.750
10 Tb 0.167 0.334 0.250
11 Sm 0.666 0.332 0.500
12 Nd 0.499 0.999 0.750

Entry from Alexandria via LeMat-Bulk: a relaxed TbNd3Sm6Ho2 crystal (PBE-GGA).

## Properties
Space group: C2/m
Total moment: 0.000 μB per formula unit
E_tot: -4.684 eV per atom

abc: 6.271 6.271 11.991
angles: 95.00 95.00 120.00
Element x y z (fractional)
1 Sm 0.749 0.749 0.246
2 Sm 0.251 0.251 0.754
3 Tb 0.000 0.000 0.000
4 Nd 0.500 0.500 0.500
5 Sm 0.918 0.584 0.754
6 Sm 0.416 0.082 0.246
7 Sm 0.082 0.416 0.246
8 Sm 0.584 0.918 0.754
9 Ho 0.667 0.333 0.000
10 Nd 0.167 0.833 0.500
11 Nd 0.833 0.167 0.500
12 Ho 0.333 0.667 0.000

Entry from Alexandria via LeMat-Bulk: a relaxed TbNd3Sm2Ho6 crystal (PBE-GGA).

## Properties
Space group: C2/m
Total moment: 0.000 μB per formula unit
E_tot: -4.639 eV per atom

abc: 6.217 6.217 11.801
angles: 95.02 95.02 119.98
Element x y z (fractional)
1 Tb 0.000 0.000 0.000
2 Nd 0.833 0.167 0.500
3 Ho 0.584 0.917 0.752
4 Sm 0.667 0.333 0.000
5 Ho 0.250 0.250 0.752
6 Ho 0.083 0.416 0.248
7 Nd 0.500 0.500 0.500
8 Ho 0.750 0.750 0.248
9 Ho 0.416 0.083 0.248
10 Nd 0.167 0.833 0.500
11 Ho 0.917 0.584 0.752
12 Sm 0.333 0.667 0.000

Entry from Alexandria via LeMat-Bulk: a relaxed Tb6Nd3Sm2Ho crystal (PBE-GGA).

## Properties
Space group: C2/m
Total moment: 0.000 μB per formula unit
E_tot: -4.661 eV per atom

abc: 6.237 6.237 11.905
angles: 95.00 95.00 119.98
Element x y z (fractional)
1 Sm 0.334 0.666 0.000
2 Nd 0.167 0.833 0.500
3 Ho 0.000 0.000 0.000
4 Tb 0.585 0.917 0.752
5 Nd 0.500 0.500 0.500
6 Tb 0.917 0.585 0.752
7 Tb 0.750 0.750 0.248
8 Sm 0.666 0.334 0.000
9 Nd 0.833 0.167 0.500
10 Tb 0.083 0.415 0.248
11 Tb 0.250 0.250 0.752
12 Tb 0.415 0.083 0.248

Q: Among the records above, which one has the highest E_tot?
A: Tb5Nd2SmHo

What did the first record say?
Entry from Alexandria via LeMat-Bulk: a relaxed Tb5Nd2SmHo crystal (PBE-GGA).

## Properties
Space group: I4/mcm
Total moment: 0.000 μB per formula unit
E_tot: -4.396 eV per atom

abc: 8.697 8.697 9.986
angles: 115.81 115.81 90.00
Element x y z (fractional)
1 Tb 0.851 0.928 0.279
2 Nd 0.382 0.882 0.000
3 Sm 0.750 0.750 0.500
4 Nd 0.882 0.618 0.000
5 Sm 0.250 0.250 0.500
6 Ho 0.750 0.250 0.500
7 Tb 0.572 0.649 0.721
8 Tb 0.000 0.000 0.000
9 Nd 0.118 0.382 0.000
10 Nd 0.618 0.118 0.000
11 Tb 0.928 0.428 0.279
12 Tb 0.428 0.351 0.279
13 Tb 0.149 0.072 0.721
14 Tb 0.351 0.851 0.279
15 Tb 0.500 0.500 0.000
16 Ho 0.250 0.750 0.500
17 Tb 0.649 0.149 0.721
18 Tb 0.072 0.572 0.721

Q: E_tot of number 6 (Tb6Nd3Sm2Ho)?
A: -4.661 eV per atom